The following is a PBE calculation of K2TcAs after structural relaxation, from the Alexandria database.

Cell lengths 3.402, 3.402, 10.208 Å; angles 90.00, 90.00, 90.00 degrees
Atoms (fractional coordinates):
K1 0.000 0.000 0.911
K2 0.500 0.500 0.335
As1 0.500 0.500 0.667
Tc1 0.000 0.000 0.587

## Properties
electronic total energy: -16.36 eV per cell
space group: No. 99